A plane-wave DFT calculation with GGA-PBE was carried out for crystalline PaNiTe at its relaxed geometry.

```
PaNiTe
1.0
-1.262 -3.690 -0.620
4.677 -1.889 1.724
-2.583 2.054 5.611
Pa Ni Te
2 2 2
Cartesian
2.968 -1.475 2.736
-2.136 -2.050 3.979
-0.131 -0.488 3.172
0.963 -3.037 3.542
0.810 -1.202 5.509
0.022 -2.323 1.205
```

Properties
The total moment comes out at 0.8 μB per formula unit. The symmetry is No. 12. The calculation puts the energy above the most stable polymorph in this dataset at 0.0691 eV per atom.